Entry 1:
# GGA-PBE TbThAlCd, optimized geometry
data_TbThAlCd
_chemical_formula_sum 'Tb4 Th4 Al4 Cd4'
_cell_length_a 7.4876
_cell_length_b 7.4876
_cell_length_c 7.4876
_cell_angle_alpha 90.00
_cell_angle_beta 90.00
_cell_angle_gamma 90.00
_symmetry_space_group_name_H-M 'F -4 3 m'
_symmetry_Int_Tables_number 216
_symmetry_space_group_name_Hall 'F -4 2 3'
loop_
_atom_site_label
_atom_site_type_symbol
_atom_site_fract_x
_atom_site_fract_y
_atom_site_fract_z
_atom_site_occupancy
Tb1 Tb 0.0000 0.0000 0.0000 1
Th1 Th 0.0000 0.0000 0.5000 1
Al1 Al 0.2500 0.2500 0.2500 1
Cd1 Cd 0.2500 0.2500 0.7500 1
# - calculated volume (Å³/atom) = 26.236
# - VASP energy (eV/atom) = -4.417
# - spin magnetization (μB per formula unit) = 0.0
# - E_form (eV/atom) = -0.2405

=====

Entry 2:
# GGA-PBE TbTiAlCd, optimized geometry
data_TbTiAlCd
_chemical_formula_sum 'Tb4 Ti4 Al4 Cd4'
_cell_length_a 6.9701
_cell_length_b 6.9701
_cell_length_c 6.9701
_cell_angle_alpha 90.00
_cell_angle_beta 90.00
_cell_angle_gamma 90.00
_symmetry_space_group_name_H-M 'F -4 3 m'
_symmetry_Int_Tables_number 216
_symmetry_space_group_name_Hall 'F -4 2 3'
loop_
_atom_site_label
_atom_site_type_symbol
_atom_site_fract_x
_atom_site_fract_y
_atom_site_fract_z
_atom_site_occupancy
Tb1 Tb 0.0000 0.0000 0.0000 1
Ti1 Ti 0.0000 0.0000 0.5000 1
Al1 Al 0.2500 0.2500 0.7500 1
Cd1 Cd 0.2500 0.2500 0.2500 1
# - calculated volume (Å³/atom) = 21.164
# - VASP energy (eV/atom) = -4.430
# - spin magnetization (μB per formula unit) = 0.0
# - E_form (eV/atom) = -0.1348

=====

Entry 3:
# GGA-PBE Tb4Al2TlCd, optimized geometry
data_Tb4Al2TlCd
_chemical_formula_sum 'Tb12 Al6 Tl3 Cd3'
_cell_length_a 5.2450
_cell_length_b 5.2450
_cell_length_c 25.6739
_cell_angle_alpha 90.00
_cell_angle_beta 90.00
_cell_angle_gamma 120.00
_symmetry_space_group_name_H-M 'R -3 m'
_symmetry_Int_Tables_number 166
_symmetry_space_group_name_Hall '-R 3 2"'
loop_
_atom_site_label
_atom_site_type_symbol
_atom_site_fract_x
_atom_site_fract_y
_atom_site_fract_z
_atom_site_occupancy
Tb1 Tb 0.0000 0.0000 0.1243 1
Tb2 Tb 0.0000 0.0000 0.3744 1
Al1 Al 0.0000 0.0000 0.2520 1
Tl1 Tl 0.0000 0.0000 0.5000 1
Cd1 Cd 0.0000 0.0000 0.0000 1
# - calculated volume (Å³/atom) = 25.486
# - VASP energy (eV/atom) = -4.012
# - spin magnetization (μB per formula unit) = 0.0
# - E_form (eV/atom) = -0.3506

=====

Entry 4:
# GGA-PBE Tb4AlTlCd2, optimized geometry
data_Tb4AlTlCd2
_chemical_formula_sum 'Tb12 Al3 Tl3 Cd6'
_cell_length_a 5.2791
_cell_length_b 5.2791
_cell_length_c 25.9419
_cell_angle_alpha 90.00
_cell_angle_beta 90.00
_cell_angle_gamma 120.00
_symmetry_space_group_name_H-M 'R -3 m'
_symmetry_Int_Tables_number 166
_symmetry_space_group_name_Hall '-R 3 2"'
loop_
_atom_site_label
_atom_site_type_symbol
_atom_site_fract_x
_atom_site_fract_y
_atom_site_fract_z
_atom_site_occupancy
Tb1 Tb 0.0000 0.0000 0.1221 1
Tb2 Tb 0.0000 0.0000 0.3723 1
Al1 Al 0.0000 0.0000 0.0000 1
Tl1 Tl 0.0000 0.0000 0.5000 1
Cd1 Cd 0.0000 0.0000 0.2508 1
# - calculated volume (Å³/atom) = 26.088
# - VASP energy (eV/atom) = -3.661
# - spin magnetization (μB per formula unit) = 0.0
# - E_form (eV/atom) = -0.3534